A | A geometry-optimized CaTa3Sn structure, computed with PBE.

Lattice parameters (Å, degrees): 4.7918 4.7918 4.7918 90.00 90.00 90.00
Space group Pm-3m (No. 221)
Unique sites:
1 Ca 0.0000 0.0000 0.0000 x1
2 Ta 0.0000 0.0000 0.5000 x3
3 Sn 0.5000 0.5000 0.5000 x1



B | A geometry-optimized CaTa3Sn structure, computed with PBE.

Lattice parameters (Å, degrees): 5.1342 5.1342 5.1342 90.00 90.00 90.00
Space group Pm-3m (No. 221)
Unique sites:
1 Ca 0.0000 0.0000 0.0000 x1
2 Ta 0.0000 0.5000 0.5000 x3
3 Sn 0.5000 0.5000 0.5000 x1



Result of the stability comparison: A is the least stable of them.



A | A geometry-optimized Ca2TaSn2 structure, computed with PBE.

Lattice parameters (Å, degrees): 4.1433 4.1433 14.5158 90.00 90.00 90.00
Space group I4/mmm (No. 139)
Unique sites:
1 Ca 0.0000 0.5000 0.2500 x4
2 Ta 0.0000 0.0000 0.0000 x2
3 Sn 0.0000 0.0000 0.4067 x4



B | A geometry-optimized Ca2TaSn2 structure, computed with PBE.

Lattice parameters (Å, degrees): 7.5241 7.5241 4.7800 90.00 90.00 90.00
Space group P4/mbm (No. 127)
Unique sites:
1 Ca 0.1712 0.3288 0.0000 x4
2 Ta 0.0000 0.0000 0.5000 x2
3 Sn 0.1413 0.6413 0.5000 x4



Result of the stability comparison: A is the least stable of them.



A | A geometry-optimized Ca3TaSn structure, computed with PBE.

Lattice parameters (Å, degrees): 5.8494 5.8494 5.8494 90.00 90.00 90.00
Space group Pm-3m (No. 221)
Unique sites:
1 Ca 0.0000 0.0000 0.5000 x3
2 Ta 0.5000 0.5000 0.5000 x1
3 Sn 0.0000 0.0000 0.0000 x1



B | A geometry-optimized Ca3TaSn structure, computed with PBE.

Lattice parameters (Å, degrees): 5.5804 5.5804 5.5804 90.00 90.00 90.00
Space group Pm-3m (No. 221)
Unique sites:
1 Ca 0.0000 0.0000 0.5000 x3
2 Ta 0.0000 0.0000 0.0000 x1
3 Sn 0.5000 0.5000 0.5000 x1



Result of the stability comparison: B is the least stable of them.



A | A geometry-optimized CaTb2Sn structure, computed with PBE.

Lattice parameters (Å, degrees): 3.5630 3.5630 36.8409 90.00 90.00 120.00
Space group R-3m (No. 166, hexagonal axes)
Unique sites:
1 Ca 0.0000 0.0000 0.0000 x3
2 Tb 0.0000 0.0000 0.4158 x6
3 Sn 0.0000 0.0000 0.5000 x3



B | A geometry-optimized CaTb2Sn structure, computed with PBE.

Lattice parameters (Å, degrees): 4.9097 4.9097 4.8141 90.00 90.00 90.00
Space group P4/mmm (No. 123)
Unique sites:
1 Ca 0.0000 0.0000 0.0000 x1
2 Tb 0.0000 0.5000 0.5000 x2
3 Sn 0.5000 0.5000 0.0000 x1



Result of the stability comparison: A is the least stable of them.



A | A geometry-optimized CaTc3Sn structure, computed with PBE.

Lattice parameters (Å, degrees): 4.7208 4.7208 4.7208 90.00 90.00 90.00
Space group Pm-3m (No. 221)
Unique sites:
1 Ca 0.0000 0.0000 0.0000 x1
2 Tc 0.0000 0.0000 0.5000 x3
3 Sn 0.5000 0.5000 0.5000 x1



B | A geometry-optimized CaTc3Sn structure, computed with PBE.

Lattice parameters (Å, degrees): 4.9799 4.9799 4.9799 90.00 90.00 90.00
Space group Pm-3m (No. 221)
Unique sites:
1 Ca 0.0000 0.0000 0.0000 x1
2 Tc 0.0000 0.5000 0.5000 x3
3 Sn 0.5000 0.5000 0.5000 x1



Result of the stability comparison: A is the least stable of them.



A | A geometry-optimized Ca3TiSn structure, computed with PBE.

Lattice parameters (Å, degrees): 5.9074 5.9074 5.9074 90.00 90.00 90.00
Space group Pm-3m (No. 221)
Unique sites:
1 Ca 0.0000 0.0000 0.5000 x3
2 Ti 0.5000 0.5000 0.5000 x1
3 Sn 0.0000 0.0000 0.0000 x1



B | A geometry-optimized Ca3TiSn structure, computed with PBE.

Lattice parameters (Å, degrees): 5.7001 5.7001 5.7001 90.00 90.00 90.00
Space group Pm-3m (No. 221)
Unique sites:
1 Ca 0.0000 0.0000 0.5000 x3
2 Ti 0.0000 0.0000 0.0000 x1
3 Sn 0.5000 0.5000 0.5000 x1



Result of the stability comparison: B is the least stable of them.



A | A geometry-optimized CaTi3Sn structure, computed with PBE.

Lattice parameters (Å, degrees): 4.7580 4.7580 4.7580 90.00 90.00 90.00
Space group Pm-3m (No. 221)
Unique sites:
1 Ca 0.0000 0.0000 0.0000 x1
2 Ti 0.0000 0.0000 0.5000 x3
3 Sn 0.5000 0.5000 0.5000 x1



B | A geometry-optimized CaTi3Sn structure, computed with PBE.

Lattice parameters (Å, degrees): 5.1559 5.1559 5.1559 90.00 90.00 90.00
Space group Pm-3m (No. 221)
Unique sites:
1 Ca 0.0000 0.0000 0.0000 x1
2 Ti 0.0000 0.5000 0.5000 x3
3 Sn 0.5000 0.5000 0.5000 x1



Result of the stability comparison: A is the least stable of them.



A | A geometry-optimized CaTl6Sn structure, computed with PBE.

Lattice parameters (Å, degrees): 9.4806 6.6555 9.0496 90.00 110.22 90.00
Space group C2/m (No. 12)
Unique sites:
1 Ca 0.0000 0.0000 0.0000 x2
2 Tl 0.1395 0.0000 0.4323 x4
3 Tl 0.1939 0.2425 0.7960 x8
4 Sn 0.0000 0.5000 0.5000 x2



B | A geometry-optimized CaTl6Sn structure, computed with PBE.

Lattice parameters (Å, degrees): 7.2367 11.5272 5.6881 90.00 90.00 90.00
Space group Cmmm (No. 65)
Unique sites:
1 Ca 0.0000 0.0000 0.0000 x2
2 Tl 0.0000 0.2474 0.5000 x4
3 Tl 0.2355 0.5000 0.5000 x4
4 Tl 0.2500 0.2500 0.0000 x4
5 Sn 0.0000 0.5000 0.0000 x2



Result of the stability comparison: A is the least stable of them.



A | A geometry-optimized Ca8Tl2Sn structure, computed with PBE.

Lattice parameters (Å, degrees): 5.3762 8.3266 16.0864 90.00 90.00 90.00
Space group Immm (No. 71)
Unique sites:
1 Ca 0.0000 0.0000 0.1556 x4
2 Ca 0.0000 0.2218 0.3443 x8
3 Ca 0.0000 0.2975 0.0000 x4
4 Tl 0.0000 0.5000 0.1888 x4
5 Sn 0.0000 0.5000 0.5000 x2



B | A geometry-optimized Ca8Tl2Sn structure, computed with PBE.

Lattice parameters (Å, degrees): 9.5473 14.6424 5.8754 90.00 109.42 90.00
Space group C2/m (No. 12)
Unique sites:
1 Ca 0.0000 0.2253 0.0000 x4
2 Ca 0.1257 0.5000 0.8088 x4
3 Ca 0.2001 0.1245 0.5913 x8
4 Tl 0.0000 0.3124 0.5000 x4
5 Sn 0.0000 0.0000 0.0000 x2



Result of the stability comparison: B is the least stable of them.



A | A geometry-optimized Ca2Tl3Sn structure, computed with PBE.

Lattice parameters (Å, degrees): 9.0354 9.9811 8.6129 90.00 111.43 90.00
Space group C2/c (No. 15)
Unique sites:
1 Ca 0.1286 0.2302 0.1268 x8
2 Tl 0.0000 0.0559 0.7500 x4
3 Tl 0.2038 0.4150 0.4806 x8
4 Sn 0.0000 0.3617 0.7500 x4



B | A geometry-optimized Ca2Tl3Sn structure, computed with PBE.

Lattice parameters (Å, degrees): 3.5876 5.5515 8.8538 90.00 90.00 90.00
Space group Pmm2 (No. 25)
Unique sites:
1 Ca 0.0000 0.0000 0.0000 x1
2 Ca 0.0000 0.5000 0.4813 x1
3 Tl 0.5000 0.0000 0.6607 x1
4 Tl 0.5000 0.5000 0.1597 x1
5 Tl 0.5000 0.5000 0.8166 x1
6 Sn 0.5000 0.0000 0.3211 x1



Result of the stability comparison: B is the least stable of them.



A | A geometry-optimized CaTl3Sn structure, computed with PBE.

Lattice parameters (Å, degrees): 5.8113 5.8113 5.8113 90.00 90.00 90.00
Space group Pm-3m (No. 221)
Unique sites:
1 Ca 0.0000 0.0000 0.0000 x1
2 Tl 0.0000 0.5000 0.5000 x3
3 Sn 0.5000 0.5000 0.5000 x1



B | A geometry-optimized CaTl3Sn structure, computed with PBE.

Lattice parameters (Å, degrees): 5.8460 5.8460 5.8460 90.00 90.00 90.00
Space group Pm-3m (No. 221)
Unique sites:
1 Ca 0.0000 0.0000 0.0000 x1
2 Tl 0.0000 0.0000 0.5000 x3
3 Sn 0.5000 0.5000 0.5000 x1



C | A geometry-optimized CaTl3Sn structure, computed with PBE.

Lattice parameters (Å, degrees): 5.8805 6.5651 8.2173 90.00 108.26 90.00
Space group P2_1/m (No. 11)
Unique sites:
1 Ca 0.1506 0.2500 0.1977 x2
2 Tl 0.3043 0.5055 0.6041 x4
3 Tl 0.4358 0.7500 0.0183 x2
4 Sn 0.0397 0.7500 0.2302 x2



D | A geometry-optimized CaTl3Sn structure, computed with PBE.

Lattice parameters (Å, degrees): 4.6835 8.2719 8.0075 90.00 90.00 90.00
Space group Pmmn (No. 59, origin choice 2)
Unique sites:
1 Ca 0.2500 0.2500 0.2215 x2
2 Tl 0.2500 0.0431 0.7649 x4
3 Tl 0.2500 0.7500 0.4616 x2
4 Sn 0.2500 0.7500 0.0673 x2



Result of the stability comparison: B is the least stable of them.



A | A geometry-optimized Ca2Tl2Sn structure, computed with PBE.

Lattice parameters (Å, degrees): 8.6167 8.6167 4.1925 90.00 90.00 90.00
Space group P4/mbm (No. 127)
Unique sites:
1 Ca 0.1565 0.3435 0.0000 x4
2 Tl 0.1467 0.6467 0.5000 x4
3 Sn 0.0000 0.0000 0.0000 x2



B | A geometry-optimized Ca2Tl2Sn structure, computed with PBE.

Lattice parameters (Å, degrees): 5.0363 5.0363 13.1618 90.00 90.00 90.00
Space group I4/mmm (No. 139)
Unique sites:
1 Ca 0.0000 0.5000 0.2500 x4
2 Tl 0.0000 0.0000 0.1037 x4
3 Sn 0.0000 0.0000 0.5000 x2



Result of the stability comparison: B is the least stable of them.